Compound: LaMn2As
Source: Alexandria
Functional: PBE-GGA
Structure: optimized geometry

It has space group Fmmm (No. 69), with a = 5.8954 Å, b = 5.9729 Å, c = 9.9237 Å, α = 90.00°, β = 90.00° and γ = 90.00°. The inequivalent atoms are La at (0.0000, 0.0000, 0.0000), Mn at (0.0000, 0.2500, 0.2500) and As at (0.0000, 0.0000, 0.5000).

The value obtained for the formation energy is 0.162 eV per atom. The spin magnetization is 28.91 Bohr magnetons per cell.



Compound: LaMnAs2
Source: Alexandria
Functional: PBE-GGA
Structure: optimized geometry

It has space group F-43m (No. 216), with a = 6.9997 Å, b = 6.9997 Å, c = 6.9997 Å, α = 90.00°, β = 90.00° and γ = 90.00°. The inequivalent atoms are La at (0.0000, 0.0000, 0.0000), Mn at (0.2500, 0.2500, 0.7500), As at (0.0000, 0.0000, 0.5000) and As at (0.2500, 0.2500, 0.2500).

The value obtained for the formation energy is -0.093 eV per atom. The spin magnetization is 14.56 Bohr magnetons per cell.



Compound: LaMnAs2
Source: Alexandria
Functional: PBE-GGA
Structure: optimized geometry

It has space group Fm-3m (No. 225), with a = 6.7789 Å, b = 6.7789 Å, c = 6.7789 Å, α = 90.00°, β = 90.00° and γ = 90.00°. The inequivalent atoms are La at (0.0000, 0.0000, 0.0000), Mn at (0.0000, 0.0000, 0.5000) and As at (0.2500, 0.2500, 0.2500).

The value obtained for the formation energy is -0.176 eV per atom. The spin magnetization is 0.00 Bohr magnetons per cell.



Compound: LaMn2As
Source: Alexandria
Functional: PBE-GGA
Structure: optimized geometry

It has space group R3m (No. 160, hexagonal axes), with a = 4.0427 Å, b = 4.0427 Å, c = 16.3602 Å, α = 90.00°, β = 90.00° and γ = 120.00°. The inequivalent atoms are La at (0.0000, 0.0000, 0.0000), Mn at (0.0000, 0.0000, 0.4879), Mn at (0.0000, 0.0000, 0.8022) and As at (0.0000, 0.0000, 0.2086).

The value obtained for the formation energy is -0.440 eV per atom. The spin magnetization is 0.08 Bohr magnetons per cell.



Compound: La2MnAs
Source: Alexandria
Functional: PBE-GGA
Structure: optimized geometry

It has space group P4mm (No. 99), with a = 4.3511 Å, b = 4.3511 Å, c = 6.1838 Å, α = 90.00°, β = 90.00° and γ = 90.00°. The inequivalent atoms are La at (0.0000, 0.0000, 0.0000), La at (0.5000, 0.5000, 0.4987), Mn at (0.0000, 0.0000, 0.4999) and As at (0.5000, 0.5000, 0.9986).

The value obtained for the formation energy is -0.334 eV per atom. The spin magnetization is 2.47 Bohr magnetons per cell.



Compound: LaMn4As
Source: Alexandria
Functional: PBE-GGA
Structure: optimized geometry

It has space group F-43m (No. 216), with a = 7.3076 Å, b = 7.3076 Å, c = 7.3076 Å, α = 90.00°, β = 90.00° and γ = 90.00°. The inequivalent atoms are La at (0.0000, 0.0000, 0.0000), Mn at (0.1238, 0.1238, 0.6238) and As at (0.2500, 0.2500, 0.2500).

The value obtained for the formation energy is 0.304 eV per atom. The spin magnetization is 39.63 Bohr magnetons per cell.



Compound: LaMnAs2
Source: Alexandria
Functional: PBE-GGA
Structure: optimized geometry

It has space group Cm (No. 8), with a = 10.4238 Å, b = 3.9780 Å, c = 4.6452 Å, α = 90.00°, β = 106.40° and γ = 90.00°. The inequivalent atoms are La at (0.0000, 0.0000, 0.0000), Mn at (0.2715, 0.5000, 0.3969), As at (0.2233, 0.0000, 0.6770) and As at (0.4578, 0.0000, 0.4676).

The value obtained for the formation energy is -0.471 eV per atom. The spin magnetization is 7.82 Bohr magnetons per cell.



Compound: LaMn2As
Source: Alexandria
Functional: PBE-GGA
Structure: optimized geometry

It has space group I-42d (No. 122), with a = 4.5550 Å, b = 4.5550 Å, c = 16.9987 Å, α = 90.00°, β = 90.00° and γ = 90.00°. The inequivalent atoms are La at (0.0000, 0.0000, 0.0000), Mn at (0.0603, 0.2500, 0.6250) and As at (0.0000, 0.0000, 0.5000).

The value obtained for the formation energy is -0.038 eV per atom. The spin magnetization is 20.26 Bohr magnetons per cell.



Compound: LaMn2AsN2
Source: Alexandria
Functional: PBE-GGA
Structure: optimized geometry

It has space group P2_1/m (No. 11), with a = 5.9499 Å, b = 4.8054 Å, c = 7.1153 Å, α = 90.00°, β = 110.08° and γ = 90.00°. The inequivalent atoms are La at (0.1872, 0.2500, 0.3586), Mn at (0.3648, 0.5007, 0.8045), As at (0.2674, 0.7500, 0.0589), N at (0.1355, 0.2500, 0.6916) and N at (0.3976, 0.7500, 0.6281).

The spin magnetization is 1.97 Bohr magnetons per cell. The value obtained for the uncorrected formation energy is -0.6761 eV per atom.